Entry 1:
The following is a DFT calculation (PBE) of a geometry-optimized Ba2Li3HoBi4 structure.

Values from the calculation:
* total moment: 0.0 μB per formula unit
* total DFT energy (no corrections): -36.8 eV for the cell shown

a = 5.058 Å, b = 5.058 Å, c = 12.182 Å
α = 90.00°, β = 90.00°, γ = 90.00°
Element x y z (fractional)
Ba (0.000, 0.500, 0.223)
Ba (0.500, 0.000, 0.777)
Li (0.000, 0.500, 0.882)
Li (0.500, 0.000, 0.118)
Li (0.500, 0.500, 0.500)
Ho (0.000, 0.000, 0.500)
Bi (0.000, 0.000, 0.000)
Bi (0.000, 0.500, 0.645)
Bi (0.500, 0.000, 0.355)
Bi (0.500, 0.500, 0.000)

---

Entry 2:
The following is a DFT calculation (PBE) of a geometry-optimized Ba2HoMg2Bi4 structure.

Values from the calculation:
* total moment: 0.0 μB per formula unit
* total DFT energy (no corrections): -33.5 eV for the cell shown

a = 8.875 Å, b = 8.875 Å, c = 7.925 Å
α = 108.26°, β = 108.26°, γ = 31.91°
Element x y z (fractional)
Ba (0.135, 0.135, 0.090)
Ba (0.865, 0.865, 0.910)
Ho (0.000, 0.000, 0.500)
Mg (0.331, 0.331, 0.511)
Mg (0.669, 0.669, 0.489)
Bi (0.202, 0.202, 0.705)
Bi (0.499, 0.499, 0.233)
Bi (0.501, 0.501, 0.767)
Bi (0.798, 0.798, 0.295)

---

Entry 3:
The following is a DFT calculation (PBE) of a geometry-optimized BaHo2Bi2O7 structure.

Values from the calculation:
* total moment: 0.0 μB per formula unit
* formation energy from raw total energies: -2261 meV per atom

a = 9.880 Å, b = 9.880 Å, c = 9.880 Å
α = 152.52°, β = 39.94°, γ = 151.60°
Element x y z (fractional)
Ba (0.000, 0.000, 0.000)
Ho (0.475, 0.085, 0.391)
Ho (0.694, 0.085, 0.609)
Bi (0.354, 0.608, 0.746)
Bi (0.862, 0.608, 0.254)
O (0.246, 0.622, 0.624)
O (0.375, 0.111, 0.264)
O (0.501, 0.620, 0.880)
O (0.692, 0.192, 0.500)
O (0.740, 0.620, 0.120)
O (0.847, 0.111, 0.736)
O (0.998, 0.622, 0.376)

---

Question: What is the total moment in the third record?
Answer: 0.0 μB per formula unit